No. 1
Here is a relaxed structure of BiBOs3 from Alexandria. Energies are from PBE.

POSCAR file:
```
BiBOs3
1.0
4.231 0.000 0.000
0.000 4.231 0.000
0.000 0.000 4.231
Bi B Os
1 1 3
Direct
0.000 0.000 0.000
0.500 0.500 0.500
0.000 0.500 0.500
0.500 0.000 0.500
0.500 0.500 0.000
```

- Final energy: -8.1794 eV per atom
- Symmetry: Pm-3m (221)

---

No. 2
Here is a relaxed structure of Bi3BOs from Alexandria. Energies are from PBE.

POSCAR file:
```
Bi3BOs
1.0
4.860 0.000 0.000
0.000 4.860 0.000
0.000 0.000 4.860
Bi B Os
3 1 1
Direct
0.000 0.000 0.500
0.000 0.500 0.000
0.500 0.000 0.000
0.000 0.000 0.000
0.500 0.500 0.500
```

- Final energy: -4.4539 eV per atom
- Symmetry: Pm-3m (221)

---

No. 3
Here is a relaxed structure of BiBOs3 from Alexandria. Energies are from PBE.

POSCAR file:
```
BiBOs3
1.0
5.033 0.000 0.000
0.000 5.033 0.000
0.000 0.000 5.033
Bi B Os
1 1 3
Direct
0.000 0.000 0.000
0.500 0.500 0.500
0.000 0.000 0.500
0.000 0.500 0.000
0.500 0.000 0.000
```

- Final energy: -4.9436 eV per atom
- Symmetry: Pm-3m (221)

---

No. 4
Here is a relaxed structure of Bi3BOs from Alexandria. Energies are from PBE.

POSCAR file:
```
Bi3BOs
1.0
5.308 0.000 0.000
0.000 5.308 0.000
0.000 0.000 5.308
Bi B Os
3 1 1
Direct
0.000 0.000 0.500
0.000 0.500 0.000
0.500 0.000 0.000
0.500 0.500 0.500
0.000 0.000 0.000
```

- Final energy: -4.3214 eV per atom
- Symmetry: Pm-3m (221)

---

Number 1: formation enthalpy at 0 K 0.670 eV per atom. Number 2: formation enthalpy at 0 K 1.456 eV per atom. Number 3: formation enthalpy at 0 K 3.906 eV per atom. Number 4: formation enthalpy at 0 K 1.589 eV per atom.